*A*
HfWI2O: relaxed, PBE+U.

Values from the calculation:
SG   P4/mmm
Fermi-level density of states   0.585 states/eV per atom

Cell: 5.878 5.878 3.966 Å, 90.00 90.00 90.00°
Fractional positions:
O 0.000 0.000 0.500
I 0.000 0.500 0.000
I 0.500 0.000 0.000
W 0.500 0.500 0.500
Hf 0.000 0.000 0.000



*B*
HfWI2O: relaxed, PBE+U.

Values from the calculation:
SG   P4/mmm
Fermi-level density of states   1.169 states/eV per atom

Cell: 5.984 5.984 3.828 Å, 90.00 90.00 90.00°
Fractional positions:
I 0.500 0.000 0.000
I 0.000 0.500 0.000
Hf 0.500 0.500 0.500
O 0.000 0.000 0.500
W 0.000 0.000 0.000



Stability ranking, top and bottom: *A* is the most stable and *B* is the least stable.